! PrTeO4 PBE optimized geometry; values from VASP
! Offset from the most stable computed form, meV/atom: 0
! Energy relative to the elements, uncorrected, eV/atom: -1.92
! Calculated volume, Å³/atom: 14.42
! Magnetic moment, μB per formula unit: 0.00
&SYSTEM
  ibrav = 0, nat = 12, ntyp = 3
/
ATOMIC_SPECIES
Pr 140.91 Pr.upf
Te 127.60 Te.upf
O 16.00 O.upf
ATOMIC_POSITIONS crystal
Pr 0.0000 0.0000 0.0000
Pr 0.5000 0.5000 0.0000
Te 0.5000 0.0000 0.5000
Te 0.0000 0.5000 0.5000
O 0.8812 0.6532 0.1843
O 0.6188 0.1532 0.8157
O 0.2614 0.2876 0.3516
O 0.2386 0.7876 0.6484
O 0.1188 0.3468 0.8157
O 0.3812 0.8468 0.1843
O 0.7386 0.7124 0.6484
O 0.7614 0.2124 0.3516
CELL_PARAMETERS angstrom
-4.0568 2.4401 3.1432
-3.7282 -1.2640 -3.8307
-0.3499 -5.2050 2.0580



! HoZrPtAu PBE optimized geometry; values from VASP
! Calculated volume, Å³/atom: 20.71
! ΔE_f, eV/atom: -0.82
! Magnetic moment, μB per formula unit: 0.00
&SYSTEM
  ibrav = 0, nat = 4, ntyp = 4
/
ATOMIC_SPECIES
Zr 91.22 Zr.upf
Au 196.97 Au.upf
Ho 164.93 Ho.upf
Pt 195.08 Pt.upf
ATOMIC_POSITIONS crystal
Zr 0.5000 0.5000 0.5000
Au 0.2500 0.2500 0.2500
Ho 0.0000 0.0000 0.0000
Pt 0.7500 0.7500 0.7500
CELL_PARAMETERS angstrom
-2.0972 -4.4194 0.1283
2.7567 -4.0003 0.5861
-0.1803 -2.5016 4.2018



! ScBe2TcHg PBE optimized geometry; values from VASP
! Calculated volume, Å³/atom: 19.17
! ΔE_f, eV/atom: 0.97
! Magnetic moment, μB per formula unit: 1.36
&SYSTEM
  ibrav = 0, nat = 5, ntyp = 4
/
ATOMIC_SPECIES
Sc 44.96 Sc.upf
Be 9.01 Be.upf
Hg 200.59 Hg.upf
Tc 98.00 Tc.upf
ATOMIC_POSITIONS crystal
Sc 0.5000 0.5000 0.5000
Be 0.0000 0.0000 0.5000
Be 0.5000 0.0000 0.0000
Hg 0.0000 0.0000 0.0000
Tc 0.0000 0.5000 0.0000
CELL_PARAMETERS angstrom
4.2939 0.0000 0.0000
0.0000 5.1999 0.0000
0.0000 0.0000 4.2939



> Which value of magnetic moment does entry 2 give?

0.00 μB per formula unit